(1)
Density functional theory data (PBE) for crystalline CaTa4Mo at its relaxed geometry.

Results
**D(E_F)**: 10.94 states/eV/f.u.
**Space-group type**: No. 216
**Calculated total energy**: -9.45 eV per atom
**Magnetization**: 0.00 μB/f.u.
**Crystal system**: cubic
**Calculated volume**: 20.14 Å³/atom

Cell lengths 5.5496, 5.5496, 5.5496 Å; angles 60.00, 60.00, 60.00 degrees
Sites, in units of the cell vectors:
Ca 0.0000 0.0000 0.0000
Ta 0.3753 0.3753 0.3753
Ta 0.3753 0.3753 0.8741
Ta 0.3753 0.8741 0.3753
Ta 0.8741 0.3753 0.3753
Mo 0.7500 0.7500 0.7500

(2)
Density functional theory data (PBE) for crystalline Ca2TaMo2 at its relaxed geometry.

Results
**D(E_F)**: 4.37 states/eV/f.u.
**Space-group type**: No. 127
**Calculated total energy**: -6.86 eV per atom
**Energy above the lowest structure with this stoichiometry**: 0.000 eV per atom
**Magnetization**: 0.00 μB/f.u.
**Crystal system**: tetragonal
**Calculated volume**: 23.29 Å³/atom

Cell lengths 6.6090, 6.6090, 5.3323 Å; angles 90.00, 90.00, 90.00 degrees
Sites, in units of the cell vectors:
Ca 0.1767 0.3233 0.0000
Ca 0.3233 0.8233 0.0000
Ca 0.6767 0.1767 0.0000
Ca 0.8233 0.6767 0.0000
Ta 0.0000 0.0000 0.5000
Ta 0.5000 0.5000 0.5000
Mo 0.1315 0.6315 0.5000
Mo 0.3685 0.1315 0.5000
Mo 0.6315 0.8685 0.5000
Mo 0.8685 0.3685 0.5000

(3)
Density functional theory data (PBE) for crystalline Ca2Ta2Mo at its relaxed geometry.

Results
**D(E_F)**: 5.30 states/eV/f.u.
**Space-group type**: No. 139
**Calculated total energy**: -6.50 eV per atom
**Energy above the lowest structure with this stoichiometry**: 0.540 eV per atom
**Magnetization**: 0.00 μB/f.u.
**Crystal system**: tetragonal
**Calculated volume**: 22.31 Å³/atom

Cell lengths 8.0592, 8.0592, 8.0592 Å; angles 152.48, 152.48, 39.31 degrees
Sites, in units of the cell vectors:
Ca 0.2500 0.7500 0.5000
Ca 0.7500 0.2500 0.5000
Ta 0.0798 0.0798 0.0000
Ta 0.9202 0.9202 0.0000
Mo 0.5000 0.5000 0.0000

(4)
Density functional theory data (PBE) for crystalline Ca2TaMo at its relaxed geometry.

Results
**D(E_F)**: 3.43 states/eV/f.u.
**Space-group type**: No. 122
**Calculated total energy**: -5.29 eV per atom
**Energy above the lowest structure with this stoichiometry**: 1.061 eV per atom
**Magnetization**: 0.43 μB/f.u.
**Crystal system**: tetragonal
**Calculated volume**: 24.27 Å³/atom

Cell lengths 6.5331, 6.5331, 6.5331 Å; angles 100.39, 100.39, 129.74 degrees
Sites, in units of the cell vectors:
Ca 0.1080 0.6250 0.9830
Ca 0.3750 0.3580 0.4830
Ca 0.6420 0.1250 0.0170
Ca 0.8750 0.8920 0.5170
Ta 0.2500 0.7500 0.5000
Ta 0.5000 0.5000 0.0000
Mo 0.0000 0.0000 0.0000
Mo 0.7500 0.2500 0.5000

(5)
Density functional theory data (PBE) for crystalline CaTaMo at its relaxed geometry.

Results
**D(E_F)**: 2.35 states/eV/f.u.
**Space-group type**: No. 107
**Calculated total energy**: -7.82 eV per atom
**Energy above the lowest structure with this stoichiometry**: 0.064 eV per atom
**Magnetization**: 0.00 μB/f.u.
**Crystal system**: tetragonal
**Calculated volume**: 22.24 Å³/atom

Cell lengths 6.2045, 6.2045, 6.2045 Å; angles 148.03, 148.03, 45.84 degrees
Sites, in units of the cell vectors:
Ca 0.0000 0.0000 0.0000
Ta 0.7110 0.7110 0.0000
Mo 0.3069 0.3069 0.0000

(6)
Density functional theory data (PBE) for crystalline Ca2Ta2Mo at its relaxed geometry.

Results
**D(E_F)**: 9.88 states/eV/f.u.
**Space-group type**: No. 127
**Calculated total energy**: -7.04 eV per atom
**Energy above the lowest structure with this stoichiometry**: 0.000 eV per atom
**Magnetization**: 0.41 μB/f.u.
**Crystal system**: tetragonal
**Calculated volume**: 24.44 Å³/atom

Cell lengths 6.6597, 6.6597, 5.5095 Å; angles 90.00, 90.00, 90.00 degrees
Sites, in units of the cell vectors:
Ca 0.1767 0.3233 0.0000
Ca 0.3233 0.8233 0.0000
Ca 0.6767 0.1767 0.0000
Ca 0.8233 0.6767 0.0000
Ta 0.1471 0.6471 0.5000
Ta 0.3529 0.1471 0.5000
Ta 0.6471 0.8529 0.5000
Ta 0.8529 0.3529 0.5000
Mo 0.0000 0.0000 0.5000
Mo 0.5000 0.5000 0.5000

(7)
Density functional theory data (PBE) for crystalline Ca2TaMo at its relaxed geometry.

Results
**D(E_F)**: 5.93 states/eV/f.u.
**Space-group type**: No. 44
**Calculated total energy**: -6.09 eV per atom
**Energy above the lowest structure with this stoichiometry**: 0.266 eV per atom
**Magnetization**: 0.00 μB/f.u.
**Crystal system**: orthorhombic
**Calculated volume**: 25.36 Å³/atom

Cell lengths 6.2516, 6.2516, 6.2516 Å; angles 148.78, 125.98, 63.72 degrees
Sites, in units of the cell vectors:
Ca 0.0000 0.0000 0.0000
Ca 0.7052 0.2052 0.5000
Ta 0.2793 0.7793 0.5000
Mo 0.4498 0.4498 0.0000

(8)
Density functional theory data (PBE) for crystalline Ca2TaMo at its relaxed geometry.

Results
**D(E_F)**: 6.01 states/eV/f.u.
**Space-group type**: No. 166
**Calculated total energy**: -5.76 eV per atom
**Energy above the lowest structure with this stoichiometry**: 0.593 eV per atom
**Magnetization**: 0.05 μB/f.u.
**Crystal system**: trigonal
**Calculated volume**: 22.25 Å³/atom

Cell lengths 11.0341, 11.0341, 11.0341 Å; angles 16.00, 16.00, 16.00 degrees
Sites, in units of the cell vectors:
Ca 0.2465 0.2465 0.2465
Ca 0.7535 0.7535 0.7535
Ta 0.0000 0.0000 0.0000
Mo 0.5000 0.5000 0.5000

(9)
Density functional theory data (PBE) for crystalline CaTa3Mo at its relaxed geometry.

Results
**D(E_F)**: 3.01 states/eV/f.u.
**Space-group type**: No. 221
**Calculated total energy**: -8.59 eV per atom
**Energy above the lowest structure with this stoichiometry**: 0.000 eV per atom
**Magnetization**: 0.00 μB/f.u.
**Crystal system**: cubic
**Calculated volume**: 24.02 Å³/atom

Cell lengths 4.9335, 4.9335, 4.9335 Å; angles 90.00, 90.00, 90.00 degrees
Sites, in units of the cell vectors:
Ca 0.0000 0.0000 0.0000
Ta 0.0000 0.5000 0.5000
Ta 0.5000 0.0000 0.5000
Ta 0.5000 0.5000 0.0000
Mo 0.5000 0.5000 0.5000

(10)
Density functional theory data (PBE) for crystalline CaTaMo at its relaxed geometry.

Results
**D(E_F)**: 3.11 states/eV/f.u.
**Space-group type**: No. 99
**Calculated total energy**: -7.89 eV per atom
**Energy above the lowest structure with this stoichiometry**: 0.000 eV per atom
**Magnetization**: 0.00 μB/f.u.
**Crystal system**: tetragonal
**Calculated volume**: 23.83 Å³/atom

Cell lengths 3.5295, 3.5295, 11.4766 Å; angles 90.00, 90.00, 90.00 degrees
Sites, in units of the cell vectors:
Ca 0.0000 0.0000 0.0000
Ca 0.5000 0.5000 0.2788
Ta 0.0000 0.0000 0.4748
Ta 0.5000 0.5000 0.5740
Mo 0.0000 0.0000 0.7168
Mo 0.5000 0.5000 0.8063

(11)
Density functional theory data (PBE) for crystalline Ca2TaMo at its relaxed geometry.

Results
**D(E_F)**: 2.83 states/eV/f.u.
**Space-group type**: No. 123
**Calculated total energy**: -5.89 eV per atom
**Energy above the lowest structure with this stoichiometry**: 0.470 eV per atom
**Magnetization**: 0.00 μB/f.u.
**Crystal system**: tetragonal
**Calculated volume**: 21.76 Å³/atom

Cell lengths 4.0469, 4.0469, 5.3155 Å; angles 90.00, 90.00, 90.00 degrees
Sites, in units of the cell vectors:
Ca 0.0000 0.5000 0.0000
Ca 0.5000 0.0000 0.0000
Ta 0.0000 0.0000 0.5000
Mo 0.5000 0.5000 0.5000

(12)
Density functional theory data (PBE) for crystalline Ca2TaMo at its relaxed geometry.

Results
**D(E_F)**: 3.89 states/eV/f.u.
**Space-group type**: No. 35
**Calculated total energy**: -6.16 eV per atom
**Energy above the lowest structure with this stoichiometry**: 0.191 eV per atom
**Magnetization**: 0.00 μB/f.u.
**Crystal system**: orthorhombic
**Calculated volume**: 24.69 Å³/atom

Cell lengths 3.2039, 3.2039, 10.4571 Å; angles 90.00, 90.00, 113.06 degrees
Sites, in units of the cell vectors:
Ca 0.0000 0.0000 0.0000
Ca 0.5000 0.5000 0.3258
Ta 0.0000 0.0000 0.5866
Mo 0.5000 0.5000 0.7608

> Which value of D(E_F) does entry 10 give?

3.11 states/eV/f.u.

> Which of these has the highest calculated total energy?

number 4

> Among the records above, which one has the highest magnetization?

number 4

> Number 1 is which compound?

CaTa4Mo